A plane-wave DFT calculation with PBE was carried out for a geometry-optimized GdFe4Ag structure.

**Crystal system**: cubic
**Mass density**: 8.83 g cm⁻³

Structure (POSCAR):
```
GdFe4Ag
1.0
0.0000 3.5815 3.5815
3.5815 0.0000 3.5815
3.5815 3.5815 0.0000
Gd Fe Ag
1 4 1
direct
0.0000 0.0000 0.0000
0.1260 0.6247 0.6247
0.6247 0.1260 0.6247
0.6247 0.6247 0.1260
0.6247 0.6247 0.6247
0.2500 0.2500 0.2500
```



A plane-wave DFT calculation with PBE was carried out for a geometry-optimized Gd2FeAg structure.

**Crystal system**: tetragonal
**Mass density**: 8.95 g cm⁻³

Structure (POSCAR):
```
Gd2FeAg
1.0
3.4383 0.0000 0.0000
0.0000 3.4383 0.0000
0.0000 0.0000 7.5072
Gd Fe Ag
2 1 1
direct
0.0000 0.0000 0.2195
0.0000 0.0000 0.7805
0.5000 0.5000 0.0000
0.5000 0.5000 0.5000
```



A plane-wave DFT calculation with PBE was carried out for a geometry-optimized Gd3FeAg structure.

**Crystal system**: cubic
**Mass density**: 7.73 g cm⁻³

Structure (POSCAR):
```
Gd3FeAg
1.0
5.1488 0.0000 0.0000
0.0000 5.1488 0.0000
0.0000 0.0000 5.1488
Gd Fe Ag
3 1 1
direct
0.0000 0.0000 0.5000
0.0000 0.5000 0.0000
0.5000 0.0000 0.0000
0.0000 0.0000 0.0000
0.5000 0.5000 0.5000
```



A plane-wave DFT calculation with PBE was carried out for a geometry-optimized GdHoFeAg structure.

**Crystal system**: cubic
**Mass density**: 9.19 g cm⁻³

Structure (POSCAR):
```
GdHoFeAg
1.0
0.0000 3.5273 3.5273
3.5273 0.0000 3.5273
3.5273 3.5273 0.0000
Gd Ho Fe Ag
1 1 1 1
direct
0.0000 0.0000 0.0000
0.5000 0.5000 0.5000
0.7500 0.7500 0.7500
0.2500 0.2500 0.2500
```



A plane-wave DFT calculation with PBE was carried out for a geometry-optimized NdGdFeAg structure.

**Crystal system**: cubic
**Mass density**: 8.28 g cm⁻³

Structure (POSCAR):
```
NdGdFeAg
1.0
0.0000 3.5993 3.5993
3.5993 0.0000 3.5993
3.5993 3.5993 0.0000
Nd Gd Fe Ag
1 1 1 1
direct
0.0000 0.0000 0.0000
0.5000 0.5000 0.5000
0.2500 0.2500 0.2500
0.7500 0.7500 0.7500
```



A plane-wave DFT calculation with PBE was carried out for a geometry-optimized PrGdFeAg structure.

**Crystal system**: cubic
**Mass density**: 8.10 g cm⁻³

Structure (POSCAR):
```
PrGdFeAg
1.0
0.0000 3.6173 3.6173
3.6173 0.0000 3.6173
3.6173 3.6173 0.0000
Pr Gd Fe Ag
1 1 1 1
direct
0.0000 0.0000 0.0000
0.5000 0.5000 0.5000
0.7500 0.7500 0.7500
0.2500 0.2500 0.2500
```



A plane-wave DFT calculation with PBE was carried out for a geometry-optimized GdThFeAg structure.

**Crystal system**: cubic
**Mass density**: 9.93 g cm⁻³

Structure (POSCAR):
```
GdThFeAg
1.0
0.0000 3.5895 3.5895
3.5895 0.0000 3.5895
3.5895 3.5895 0.0000
Gd Th Fe Ag
1 1 1 1
direct
0.0000 0.0000 0.0000
0.5000 0.5000 0.5000
0.7500 0.7500 0.7500
0.2500 0.2500 0.2500
```



A plane-wave DFT calculation with PBE was carried out for a geometry-optimized GdTmFeAg structure.

**Crystal system**: cubic
**Mass density**: 9.40 g cm⁻³

Structure (POSCAR):
```
GdTmFeAg
1.0
0.0000 3.5106 3.5106
3.5106 0.0000 3.5106
3.5106 3.5106 0.0000
Gd Tm Fe Ag
1 1 1 1
direct
0.0000 0.0000 0.0000
0.5000 0.5000 0.5000
0.2500 0.2500 0.2500
0.7500 0.7500 0.7500
```



Energy relative to the elements (computed, eV/atom): 0.09; -0.11; 0.05; -0.02; 0.03; 0.08; 0.07; -0.03
Energy (computed, eV/atom): -8.370; -9.975; -10.663; -7.511; -7.514; -7.461; -8.129; -7.493
Size of the total moment (computed, μB per formula unit): 16.59; 13.35; 21.81; 5.88; 5.85; 8.67; 8.12; 5.90